La2Mg | SCAN | single point on PBEsol structure

Summary:
**Calculated density**: 5.2 Mg/m³
**M_tot**: 2.83 Bohr magnetons per cell
**Formation enthalpy at 0 K**: -0.001 eV/atom

Cell lengths 14.571, 14.571, 14.571 Å; angles 90.00, 90.00, 90.00 degrees
Space group Fd-3m (No. 227, origin choice 2)
Asymmetric unit:
La  0.000  0.000  0.000 [16 per cell]
La  0.062  0.375  0.875 [48 per cell]
Mg  0.039  0.039  0.211 [32 per cell]

La2Mg | SCAN | single point on PBEsol structure

Summary:
**Calculated density**: 5.4 Mg/m³
**M_tot**: 0.00 Bohr magnetons per cell
**Formation enthalpy at 0 K**: -0.053 eV/atom

Cell lengths 9.5630, 9.5630, 3.5291 Å; angles 90.00, 90.00, 120.00 degrees
Space group P-62m (No. 189)
Asymmetric unit:
La  0.0000  0.3032  0.0000 [3 per cell]
La  0.0000  0.6371  0.5000 [3 per cell]
Mg  0.0000  0.0000  0.5000 [1 per cell]
Mg  0.3333  0.6667  0.0000 [2 per cell]

La2Mg | SCAN | single point on PBEsol structure

Summary:
**Calculated density**: 5.7 Mg/m³
**M_tot**: 0.01 Bohr magnetons per cell
**Formation enthalpy at 0 K**: -0.053 eV/atom

Cell lengths 11.278, 4.713, 3.509 Å; angles 90.00, 108.03, 90.00 degrees
Space group C2/m (No. 12)
Asymmetric unit:
La  0.175  0.000  0.174 [4 per cell]
Mg  0.000  0.500  0.500 [2 per cell]

La4Mg5 | SCAN | single point on PBEsol structure

Summary:
**Calculated density**: 4.4 Mg/m³
**M_tot**: 0.45 Bohr magnetons per cell
**Formation enthalpy at 0 K**: -0.050 eV/atom

Cell lengths 10.106, 10.106, 5.050 Å; angles 90.00, 90.00, 90.00 degrees
Space group I4/mmm (No. 139)
Asymmetric unit:
La  0.000  0.328  0.000 [8 per cell]
Mg  0.000  0.000  0.000 [2 per cell]
Mg  0.157  0.157  0.500 [8 per cell]